(1)
This record from Alexandria via LeMat-Bulk describes an optimized crystal structure of Ac3Ag5O12. The functional is GGA-PBE.

a b c (Å): 11.7876 11.7876 11.7876
angles (deg): 109.47 109.47 109.47
With the nearest neighbours (Å) after each atom.
Sites, in units of the cell vectors:
Ac 0.1250 0.2500 0.3750  8 O 2.56-2.68
Ac 0.1250 0.3750 0.7500  8 O 2.56-2.68
Ac 0.2500 0.3750 0.1250  8 O 2.56-2.68
Ac 0.2500 0.8750 0.6250  8 O 2.56-2.68
Ac 0.3750 0.1250 0.2500  8 O 2.56-2.68
Ac 0.3750 0.7500 0.1250  8 O 2.56-2.68
Ac 0.6250 0.2500 0.8750  8 O 2.56-2.68
Ac 0.6250 0.8750 0.7500  8 O 2.56-2.68
Ac 0.7500 0.1250 0.3750  8 O 2.56-2.68
Ac 0.7500 0.6250 0.8750  8 O 2.56-2.68
Ac 0.8750 0.6250 0.2500  8 O 2.56-2.68
Ac 0.8750 0.7500 0.6250  8 O 2.56-2.68
Ag 0.0000 0.0000 0.0000  6 O 2.12
Ag 0.0000 0.0000 0.5000  6 O 2.12
Ag 0.0000 0.5000 0.0000  6 O 2.12
Ag 0.0000 0.5000 0.5000  6 O 2.12
Ag 0.1250 0.7500 0.8750  4 O 2.15
Ag 0.1250 0.8750 0.2500  4 O 2.15
Ag 0.2500 0.1250 0.8750  4 O 2.15
Ag 0.2500 0.6250 0.3750  4 O 2.15
Ag 0.3750 0.2500 0.6250  4 O 2.15
Ag 0.3750 0.6250 0.7500  4 O 2.15
Ag 0.5000 0.0000 0.0000  6 O 2.12
Ag 0.5000 0.0000 0.5000  6 O 2.12
Ag 0.5000 0.5000 0.0000  6 O 2.12
Ag 0.5000 0.5000 0.5000  6 O 2.12
Ag 0.6250 0.3750 0.2500  4 O 2.15
Ag 0.6250 0.7500 0.3750  4 O 2.15
Ag 0.7500 0.3750 0.6250  4 O 2.15
Ag 0.7500 0.8750 0.1250  4 O 2.15
Ag 0.8750 0.1250 0.7500  4 O 2.15
Ag 0.8750 0.2500 0.1250  4 O 2.15
O 0.0344 0.1994 0.1239  2 Ag 2.12-2.15
O 0.0344 0.3349 0.9104  2 Ag 2.12-2.15
O 0.0755 0.6994 0.6651  2 Ag 2.12-2.15
O 0.0755 0.8761 0.4104  2 Ag 2.12-2.15
O 0.0896 0.6239 0.4245  2 Ag 2.12-2.15
O 0.0896 0.9656 0.6651  2 Ag 2.12-2.15
O 0.1239 0.0344 0.1994  2 Ag 2.12-2.15
O 0.1239 0.5896 0.9245  2 Ag 2.12-2.15
O 0.1651 0.1994 0.5755  2 Ag 2.12-2.15
O 0.1651 0.4656 0.5896  2 Ag 2.12-2.15
O 0.1994 0.1239 0.0344  2 Ag 2.12-2.15
O 0.1994 0.5755 0.1651  2 Ag 2.12-2.15
O 0.3006 0.3349 0.9245  2 Ag 2.12-2.15
O 0.3006 0.4656 0.3761  2 Ag 2.12-2.15
O 0.3349 0.9104 0.0344  2 Ag 2.12-2.15
O 0.3349 0.9245 0.3006  2 Ag 2.12-2.15
O 0.3761 0.3006 0.4656  2 Ag 2.12-2.15
O 0.3761 0.5755 0.9104  2 Ag 2.12-2.15
O 0.4104 0.0755 0.8761  2 Ag 2.12-2.15
O 0.4104 0.8349 0.5344  2 Ag 2.12-2.15
O 0.4245 0.0896 0.6239  2 Ag 2.12-2.15
O 0.4245 0.8349 0.8006  2 Ag 2.12-2.15
O 0.4656 0.3761 0.3006  2 Ag 2.12-2.15
O 0.4656 0.5896 0.1651  2 Ag 2.12-2.15
O 0.5344 0.4104 0.8349  2 Ag 2.12-2.15
O 0.5344 0.6239 0.6994  2 Ag 2.12-2.15
O 0.5755 0.1651 0.1994  2 Ag 2.12-2.15
O 0.5755 0.9104 0.3761  2 Ag 2.12-2.15
O 0.5896 0.1651 0.4656  2 Ag 2.12-2.15
O 0.5896 0.9245 0.1239  2 Ag 2.12-2.15
O 0.6239 0.4245 0.0896  2 Ag 2.12-2.15
O 0.6239 0.6994 0.5344  2 Ag 2.12-2.15
O 0.6651 0.0755 0.6994  2 Ag 2.12-2.15
O 0.6651 0.0896 0.9656  2 Ag 2.12-2.15
O 0.6994 0.5344 0.6239  2 Ag 2.12-2.15
O 0.6994 0.6651 0.0755  2 Ag 2.12-2.15
O 0.8006 0.4245 0.8349  2 Ag 2.12-2.15
O 0.8006 0.8761 0.9656  2 Ag 2.12-2.15
O 0.8349 0.5344 0.4104  2 Ag 2.12-2.15
O 0.8349 0.8006 0.4245  2 Ag 2.12-2.15
O 0.8761 0.4104 0.0755  2 Ag 2.12-2.15
O 0.8761 0.9656 0.8006  2 Ag 2.12-2.15
O 0.9104 0.0344 0.3349  2 Ag 2.12-2.15
O 0.9104 0.3761 0.5755  2 Ag 2.12-2.15
O 0.9245 0.1239 0.5896  2 Ag 2.12-2.15
O 0.9245 0.3006 0.3349  2 Ag 2.12-2.15
O 0.9656 0.6651 0.0896  2 Ag 2.12-2.15
O 0.9656 0.8006 0.8761  2 Ag 2.12-2.15

Results
As for the uncorrected formation energy: -1.143 eV/atom. As for the calculated total energy: -5.4466 eV per atom. As for the symmetry: Ia-3d (230). The calculation puts the volume at 315 Å³/f.u. The value obtained for the density of states at the Fermi level is 1.07 states/eV per atom. The calculation puts the total magnetic moment at 0.1 μB per cell.

(2)
This record from Alexandria via LeMat-Bulk describes an optimized crystal structure of BaCr2Ru. The functional is GGA-PBE.

a b c (Å): 6.4609 6.4609 6.4609
angles (deg): 90.00 90.00 90.00
With the nearest neighbours (Å) after each atom.
Sites, in units of the cell vectors:
Ba 0.0000 0.0000 0.0000  8 Cr 2.80
Ba 0.0000 0.5000 0.5000  8 Cr 2.80
Ba 0.5000 0.0000 0.5000  8 Cr 2.80
Ba 0.5000 0.5000 0.0000  8 Cr 2.80
Cr 0.2500 0.2500 0.2500  4 Ba 2.80, 4 Ru 2.80
Cr 0.2500 0.2500 0.7500  4 Ba 2.80, 4 Ru 2.80
Cr 0.2500 0.7500 0.2500  4 Ba 2.80, 4 Ru 2.80
Cr 0.2500 0.7500 0.7500  4 Ba 2.80, 4 Ru 2.80
Cr 0.7500 0.2500 0.2500  4 Ba 2.80, 4 Ru 2.80
Cr 0.7500 0.2500 0.7500  4 Ba 2.80, 4 Ru 2.80
Cr 0.7500 0.7500 0.2500  4 Ba 2.80, 4 Ru 2.80
Cr 0.7500 0.7500 0.7500  4 Ba 2.80, 4 Ru 2.80
Ru 0.0000 0.0000 0.5000  8 Cr 2.80
Ru 0.0000 0.5000 0.0000  8 Cr 2.80
Ru 0.5000 0.0000 0.0000  8 Cr 2.80
Ru 0.5000 0.5000 0.5000  8 Cr 2.80

Results
Its energy relative to the lowest polymorph listed for this composition is 0.820 eV per atom. As for the calculated total energy: -6.2689 eV per atom. As for the symmetry: Fm-3m (225). The energy of formation is 130 kJ/mol of atoms. The calculation puts the volume at 67 Å³/f.u. The value obtained for the density of states at the Fermi level is 0.79 states/eV per atom. The calculation puts the total magnetic moment at 0.0 μB per cell.

(3)
This record from Alexandria via LeMat-Bulk describes an optimized crystal structure of ScPdIO2. The functional is GGA-PBE.

a b c (Å): 3.9766 3.9766 6.5866
angles (deg): 90.00 90.00 90.00
With the nearest neighbours (Å) after each atom.
Sites, in units of the cell vectors:
Sc 0.0000 0.0000 0.0000  4 O 1.99
Pd 0.5000 0.5000 0.5000  4 I 2.81
I 0.0000 0.0000 0.5000  4 Pd 2.81
O 0.0000 0.5000 0.0000  2 Sc 1.99
O 0.5000 0.0000 0.0000  2 Sc 1.99

Results
Its energy relative to the lowest polymorph listed for this composition is 0.000 eV per atom. As for the uncorrected formation energy: -1.123 eV/atom. As for the calculated total energy: -5.7217 eV per atom. As for the symmetry: P4/mmm (123). The calculation puts the volume at 104 Å³/f.u. The value obtained for the density of states at the Fermi level is 1.32 states/eV per atom. The calculation puts the total magnetic moment at 0.0 μB per cell.

Question: Among the records above, which one has the lowest volume?
Answer: BaCr2Ru

Question: Which of these has the highest volume?
Answer: Ac3Ag5O12